{
  "formula": "PrAlOs",
  "functional": "PBE-GGA",
  "state": "optimized geometry",
  "cell": [[-2.0164, -4.8242, -2.2331], [2.9706, -2.9608, -3.5239], [1.9757, -4.8787, 1.5178]],
  "species": ["Os", "Os", "Pr", "Pr", "Al", "Al"],
  "fractional_positions": [[0.5000, 0.5000, 0.0000], [0.5000, 0.0000, 0.5000], [0.8672, 0.3828, 0.3828], [0.1328, 0.6172, 0.6172], [0.5000, 0.0000, 0.0000], [0.0000, 0.0000, 0.0000]],
  "m_tot_mub_per_atom": 0.0000,
  "formation_energy_ev_per_atom": -0.302
}



{
  "formula": "PrAlOs",
  "functional": "PBE-GGA",
  "state": "optimized geometry",
  "cell": [[3.2980, 0.0000, 0.0000], [0.0000, 3.2980, 0.0000], [-1.6490, -1.6490, 5.6568]],
  "species": ["Al", "Pr", "Os"],
  "fractional_positions": [[0.2913, 0.2913, 0.5826], [0.0147, 0.0147, 0.0293], [0.6940, 0.6940, 0.3880]],
  "m_tot_mub_per_atom": 0.0000,
  "formation_energy_ev_per_atom": -0.159
}



{
  "formula": "PrAlOs",
  "functional": "PBE-GGA",
  "state": "optimized geometry",
  "cell": [[4.1461, 0.0000, 0.0000], [0.0000, 4.3068, 0.0000], [0.0000, -2.1534, 3.7298]],
  "species": ["Pr", "Al", "Os"],
  "fractional_positions": [[0.6666, 0.3333, 0.6667], [0.1667, 0.0000, 0.0000], [0.1667, 0.6667, 0.3333]],
  "m_tot_mub_per_atom": 0.0000,
  "formation_energy_ev_per_atom": -0.180
}



What did the second record say?
{
  "formula": "PrAlOs",
  "functional": "PBE-GGA",
  "state": "optimized geometry",
  "cell": [[3.2980, 0.0000, 0.0000], [0.0000, 3.2980, 0.0000], [-1.6490, -1.6490, 5.6568]],
  "species": ["Al", "Pr", "Os"],
  "fractional_positions": [[0.2913, 0.2913, 0.5826], [0.0147, 0.0147, 0.0293], [0.6940, 0.6940, 0.3880]],
  "m_tot_mub_per_atom": 0.0000,
  "formation_energy_ev_per_atom": -0.159
}